A plane-wave DFT calculation with PBE was carried out for an optimized crystal structure of RbHf2NiPt.

Geometry as POSCAR:
```
RbHf2NiPt
1.0
-2.175 -0.938 4.160
4.601 -2.296 1.887
1.420 4.244 1.700
Pt Hf Rb Ni
1 2 1 1
Cartesian
1.923 0.505 3.873
-1.087 -0.469 2.080
0.710 2.122 0.850
2.301 -1.148 0.944
0.000 0.000 0.000
```

Calculated values
Energy of formation ... 0.84 eV/atom